# 1
A plane-wave DFT calculation with PBE was carried out for a relaxed SrTa3Mn crystal. Values from VASP.

Structure (Quantum ESPRESSO input):
```
&SYSTEM
  ibrav = 0, nat = 5, ntyp = 3
/
ATOMIC_SPECIES
Ta 180.95 Ta.upf
Sr 87.62 Sr.upf
Mn 54.94 Mn.upf
CELL_PARAMETERS angstrom
4.780 0.000 0.000
0.000 4.780 0.000
0.000 0.000 4.780
ATOMIC_POSITIONS crystal
Ta 0.000 0.500 0.000
Ta 0.500 0.000 0.000
Ta 0.000 0.000 0.500
Sr 0.500 0.500 0.500
Mn 0.000 0.000 0.000
```

Results
The total DFT energy (no corrections) is -42.2 eV per formula unit.

# 2
A plane-wave DFT calculation with PBE was carried out for a relaxed Ce crystal. Values from VASP.

Structure (Quantum ESPRESSO input):
```
&SYSTEM
  ibrav = 0, nat = 2, ntyp = 1
/
ATOMIC_SPECIES
Ce 140.12 Ce.upf
CELL_PARAMETERS angstrom
-2.361 -2.769 2.049
3.241 2.267 1.342
-2.801 3.022 -0.670
ATOMIC_POSITIONS crystal
Ce 0.875 0.125 0.750
Ce 0.125 0.875 0.250
```

Results
The total DFT energy (no corrections) is -5.8 eV per formula unit.

# 3
A plane-wave DFT calculation with PBE was carried out for a relaxed TbHoZn4 crystal. Values from VASP.

Structure (Quantum ESPRESSO input):
```
&SYSTEM
  ibrav = 0, nat = 6, ntyp = 3
/
ATOMIC_SPECIES
Tb 158.93 Tb.upf
Zn 65.41 Zn.upf
Ho 164.93 Ho.upf
CELL_PARAMETERS angstrom
3.738 0.000 0.004
0.000 3.803 0.008
0.010 0.017 9.716
ATOMIC_POSITIONS crystal
Tb 0.501 0.497 0.998
Zn 0.001 0.498 0.251
Zn 0.001 0.497 0.745
Zn 0.501 0.998 0.748
Zn 0.502 0.996 0.248
Ho 0.001 0.998 0.498
```

Results
The total DFT energy (no corrections) is -14.2 eV per formula unit.

# 4
A plane-wave DFT calculation with PBE was carried out for a relaxed Pm4Pt2Au3 crystal. Values from VASP.

Structure (Quantum ESPRESSO input):
```
&SYSTEM
  ibrav = 0, nat = 9, ntyp = 3
/
ATOMIC_SPECIES
Pm 145.00 Pm.upf
Au 196.97 Au.upf
Pt 195.08 Pt.upf
CELL_PARAMETERS angstrom
-2.943 1.437 -3.692
-4.093 -2.554 -1.030
-5.190 5.738 6.370
ATOMIC_POSITIONS crystal
Pm 0.333 0.333 0.115
Pm 0.667 0.667 0.885
Pm 0.000 0.000 0.336
Pm 0.000 0.000 0.664
Au 0.000 0.000 0.000
Au 0.333 0.333 0.506
Au 0.667 0.667 0.494
Pt 0.667 0.666 0.190
Pt 0.333 0.334 0.810
```

Results
The total DFT energy (no corrections) is -48.8 eV per formula unit.

no.,volume (Å³ per cell)
1,109.2
2,50.6
3,138.1
4,211.3